1.
Material: LaAg2Sn2
Method: DFT, PBE
State: optimized geometry

abc: 8.4172 8.4172 3.4496
angles: 90.00 90.00 90.00
Closest atoms and distances in Å follow each position.
Space group P4/mbm (No. 127)
Symmetry-distinct sites (fractional):
La: 0.0000 0.0000 0.0000 [2 per cell]  4 Ag 3.36, 2 La 3.45, 8 Sn 3.54
Ag: 0.1191 0.3809 0.0000 [4 per cell]  1 Ag 2.83, 6 Sn 2.95-3.09
Sn: 0.1794 0.6794 0.5000 [4 per cell]  6 Ag 2.95-3.09

Calculated values
formation enthalpy at 0 K: -0.260 eV per atom

2.
Material: La6C2OF3
Method: DFT, PBE
State: optimized geometry

abc: 6.4641 11.2083 6.7088
angles: 90.00 108.61 90.00
Closest atoms and distances in Å follow each position.
Space group C2/m (No. 12)
Symmetry-distinct sites (fractional):
La: 0.2404 0.0000 0.2244 [4 per cell]  2 C 2.58, 1 O 2.59, 1 F 2.77
La: 0.2398 0.3342 0.2226 [8 per cell]  1 O 2.57, 2 C 2.58-2.59, 3 F 2.66-2.78
C: 0.0000 0.1660 0.0000 [4 per cell]  6 La 2.58-2.59
O: 0.0000 0.5000 0.0000 [2 per cell]  6 La 2.57-2.59
F: 0.0000 0.0000 0.5000 [2 per cell]  6 La 2.77-2.78
F: 0.0000 0.3147 0.5000 [4 per cell]  6 La 2.66-2.93

Calculated values
total energy: -6.79 eV per atom

3.
Material: LiHf2Fe
Method: DFT, PBE
State: optimized geometry

abc: 4.4976 4.4976 3.1953
angles: 90.00 90.00 90.00
Closest atoms and distances in Å follow each position.
Space group P4/mmm (No. 123)
Symmetry-distinct sites (fractional):
Li: 0.0000 0.0000 0.0000 [1 per cell]  8 Hf 2.76
Hf: 0.0000 0.5000 0.5000 [2 per cell]  4 Fe 2.76, 4 Li 2.76
Fe: 0.5000 0.5000 0.0000 [1 per cell]  8 Hf 2.76

Calculated values
formation enthalpy at 0 K: -0.012 eV per atom

4.
Material: LiTmLuMg
Method: DFT, PBE
State: optimized geometry

abc: 7.4219 7.4219 7.4219
angles: 90.00 90.00 90.00
Closest atoms and distances in Å follow each position.
Space group F-43m (No. 216)
Symmetry-distinct sites (fractional):
Li: 0.0000 0.0000 0.0000 [4 per cell]  4 Tm 3.21, 4 Lu 3.21
Tm: 0.2500 0.2500 0.2500 [4 per cell]  4 Li 3.21, 4 Mg 3.21
Lu: 0.2500 0.2500 0.7500 [4 per cell]  4 Li 3.21, 4 Mg 3.21
Mg: 0.0000 0.0000 0.5000 [4 per cell]  4 Tm 3.21, 4 Lu 3.21

Calculated values
formation enthalpy at 0 K: 0.072 eV per atom

5.
Material: ScSb2TeO
Method: DFT, PBE
State: optimized geometry

abc: 5.4351 5.4351 5.3021
angles: 90.00 90.00 90.00
Closest atoms and distances in Å follow each position.
Space group P4/mmm (No. 123)
Symmetry-distinct sites (fractional):
Sc: 0.0000 0.0000 0.0000 [1 per cell]  2 Te 2.65, 4 Sb 2.72
Sb: 0.0000 0.5000 0.0000 [2 per cell]  2 Sc 2.72
Te: 0.0000 0.0000 0.5000 [1 per cell]  2 Sc 2.65
O: 0.5000 0.5000 0.5000 [1 per cell]  8 Sb 3.80, 4 Te 3.84

Calculated values
distance to the lowest polymorph of the same formula: 944 meV/atom

6.
Material: AlSbCl
Method: DFT, PBE
State: optimized geometry

abc: 6.8744 6.8744 6.8744
angles: 90.00 90.00 90.00
Closest atoms and distances in Å follow each position.
Space group F-43m (No. 216)
Symmetry-distinct sites (fractional):
Al: 0.0000 0.0000 0.0000 [4 per cell]  4 Sb 2.98
Sb: 0.2500 0.2500 0.7500 [4 per cell]  4 Cl 2.98, 4 Al 2.98
Cl: 0.0000 0.0000 0.5000 [4 per cell]  4 Sb 2.98

Calculated values
distance to the lowest polymorph of the same formula: 514 meV/atom

7.
Material: Ta2Ir9Ru
Method: DFT, PBE
State: optimized geometry

abc: 5.2894 5.9715 6.4946
angles: 85.29 73.81 80.89
Closest atoms and distances in Å follow each position.
Space group P-1 (No. 2)
Symmetry-distinct sites (fractional):
Ta: 0.2383 0.1323 0.1022 [2 per cell]  1 Ru 2.66, 9 Ir 2.66-2.87, 1 Ta 2.97
Ir: 0.0254 0.7325 0.1905 [2 per cell]  1 Ru 2.63, 7 Ir 2.66-2.80, 2 Ta 2.66-2.75
Ir: 0.2361 0.3965 0.4130 [2 per cell]  7 Ir 2.59-2.73, 1 Ta 2.66, 1 Ru 2.79
Ir: 0.2897 0.8411 0.7713 [2 per cell]  3 Ta 2.67-2.87, 1 Ru 2.67, 6 Ir 2.69-2.91
Ir: 0.4783 0.7645 0.3138 [2 per cell]  7 Ir 2.65-2.91, 1 Ru 2.70, 2 Ta 2.77-2.81
Ir: 0.5000 0.5000 0.0000 [1 per cell]  8 Ir 2.65-2.73, 2 Ta 2.72
Ru: 0.0000 0.0000 0.5000 [1 per cell]  8 Ir 2.63-2.79, 2 Ta 2.66

Calculated values
formation enthalpy at 0 K: -0.016 eV per atom

| no. | V (Å³/atom) |
| --- | --- |
| 1 | 24.4 |
| 2 | 19.2 |
| 3 | 16.2 |
| 4 | 25.6 |
| 5 | 31.3 |
| 6 | 27.1 |
| 7 | 16.2 |